A plane-wave DFT calculation with PBE was carried out for a relaxed structure of CaBH.

Results
M_tot (μB/atom): 0.180
Electronic total energy (eV/atom): -3.327

abc: 6.1869 6.1869 10.2914
angles: 90.00 90.00 120.00
Space group P6_222 (No. 180)
Unique sites:
Ca1 0.0000 0.5000 0.4101 x6
B1 0.1426 0.5713 0.6667 x6
H1 0.0000 0.0000 0.0000 x3
H2 0.0000 0.5000 0.1667 x3

---

A plane-wave DFT calculation with PBE was carried out for a relaxed structure of Na7TlHg2.

Results
M_tot (μB/atom): 0.000
Electronic total energy (eV/atom): -1.320
Calculated formation energy (kJ/mol of formula units): -96

abc: 5.3879 5.3879 12.7910
angles: 90.00 90.00 120.00
Space group P3m1 (No. 156)
Unique sites:
Na1 0.0000 0.0000 0.0000 x1
Na2 0.0000 0.0000 0.2616 x1
Na3 0.0000 0.0000 0.5237 x1
Na4 0.3333 0.6667 0.1342 x1
Na5 0.3333 0.6667 0.6782 x1
Na6 0.6667 0.3333 0.3820 x1
Na7 0.6667 0.3333 0.8497 x1
Tl1 0.3333 0.6667 0.4047 x1
Hg1 0.0000 0.0000 0.7619 x1
Hg2 0.6667 0.3333 0.1186 x1

---

A plane-wave DFT calculation with PBE was carried out for a relaxed structure of BaPrBi.

Results
M_tot (μB/atom): 0.000
Energy above the lowest structure with this stoichiometry (kJ/mol of atoms): 28.0
Electronic total energy (eV/atom): -3.967
Calculated formation energy (kJ/mol of formula units): -127

abc: 5.4945 5.4945 4.8343
angles: 90.00 90.00 120.00
Space group P3m1 (No. 156)
Unique sites:
Ba1 0.0000 0.0000 0.0000 x1
Pr1 0.3333 0.6667 0.4999 x1
Bi1 0.6667 0.3333 0.5024 x1

---

The highest M_tot belongs to which entry?
CaBH

---

Which of these has the highest electronic total energy?
Na7TlHg2